No. 1
Density functional theory data (GGA-PBE) for a relaxed structure of AcSm2Ag4. Values from VASP.

Summary:
The calculation puts the energy relative to the elements at -0.06 eV/atom. For the density, the calculation gives 7.826 Mg/m³.

The structure in Quantum ESPRESSO input format:
```
&SYSTEM
  ibrav = 0, nat = 7, ntyp = 3
/
ATOMIC_SPECIES
Ac 227.00 Ac.upf
Sm 150.36 Sm.upf
Ag 107.87 Ag.upf
CELL_PARAMETERS angstrom
-3.9336 3.9336 3.2883
3.9336 -3.9336 3.2883
3.9336 3.9336 -3.2883
ATOMIC_POSITIONS angstrom
Ac 0.0000 0.0000 0.0000
Sm 3.9336 0.0000 0.0000
Sm 0.0000 3.9336 0.0000
Ag 1.9668 1.9668 -1.6441
Ag 1.9668 -1.9668 1.6441
Ag -1.9668 1.9668 1.6441
Ag 1.9668 1.9668 1.6441
```



No. 2
Density functional theory data (GGA-PBE) for a relaxed structure of Ac2SmAg5. Values from VASP.

Summary:
The calculation puts the energy relative to the elements at -0.18 eV/atom. For the density, the calculation gives 8.937 Mg/m³.

The structure in Quantum ESPRESSO input format:
```
&SYSTEM
  ibrav = 0, nat = 8, ntyp = 3
/
ATOMIC_SPECIES
Ac 227.00 Ac.upf
Sm 150.36 Sm.upf
Ag 107.87 Ag.upf
CELL_PARAMETERS angstrom
-2.6866 2.6866 7.3601
2.6866 -2.6866 7.3601
2.6866 2.6866 -7.3601
ATOMIC_POSITIONS angstrom
Ac 0.0000 0.0000 3.3335
Ac 0.0000 0.0000 11.3868
Sm 0.0000 0.0000 7.3601
Ag 0.0000 0.0000 0.0000
Ag 2.6866 0.0000 1.5357
Ag 2.6866 0.0000 5.8244
Ag 0.0000 2.6866 1.5357
Ag 0.0000 2.6866 5.8244
```



No. 3
Density functional theory data (GGA-PBE) for a relaxed structure of AcSmAgSn. Values from VASP.

Summary:
The calculation puts the energy relative to the elements at -0.46 eV/atom. For the density, the calculation gives 8.357 Mg/m³.

The structure in Quantum ESPRESSO input format:
```
&SYSTEM
  ibrav = 0, nat = 4, ntyp = 4
/
ATOMIC_SPECIES
Ac 227.00 Ac.upf
Sm 150.36 Sm.upf
Ag 107.87 Ag.upf
Sn 118.71 Sn.upf
CELL_PARAMETERS angstrom
0.0000 3.9150 3.9150
3.9150 0.0000 3.9150
3.9150 3.9150 0.0000
ATOMIC_POSITIONS angstrom
Ac 0.0000 0.0000 0.0000
Sm 3.9150 3.9150 3.9150
Ag 1.9575 1.9575 1.9575
Sn 5.8724 5.8724 5.8724
```



No. 4
Density functional theory data (GGA-PBE) for a relaxed structure of Ac2SmAg3Sn4. Values from VASP.

Summary:
The calculation puts the energy relative to the elements at -0.49 eV/atom. For the density, the calculation gives 8.273 Mg/m³.

The structure in Quantum ESPRESSO input format:
```
&SYSTEM
  ibrav = 0, nat = 10, ntyp = 4
/
ATOMIC_SPECIES
Ac 227.00 Ac.upf
Sm 150.36 Sm.upf
Ag 107.87 Ag.upf
Sn 118.71 Sn.upf
CELL_PARAMETERS angstrom
4.7698 0.0000 0.0000
0.0000 4.7698 0.0000
0.0000 0.0000 12.3757
ATOMIC_POSITIONS angstrom
Ac 0.0000 2.3849 2.8560
Ac 2.3849 0.0000 9.5197
Sm 0.0000 0.0000 6.1878
Ag 0.0000 2.3849 10.7933
Ag 2.3849 0.0000 1.5824
Ag 2.3849 2.3849 6.1878
Sn 0.0000 0.0000 0.0000
Sn 0.0000 2.3849 8.0720
Sn 2.3849 0.0000 4.3036
Sn 2.3849 2.3849 0.0000
```



Across the entries above, total energy takes the values -3.625, -3.579, -4.384, -4.237 eV per atom, respectively.
Across the entries above, total magnetization takes the values 0.000, 0.000, 0.004, 0.000 μB/cell, respectively.